No. 1
Here is LiReNiGe after structural relaxation from OQMD. Energies are from PBE-GGA.

Geometry as CIF:
```
data_LiReNiGe
_chemical_formula_sum 'Li4 Re4 Ni4 Ge4'
_cell_length_a 5.888
_cell_length_b 5.888
_cell_length_c 5.888
_cell_angle_alpha 90.00
_cell_angle_beta 90.00
_cell_angle_gamma 90.00
_space_group_name_H-M_alt 'F -4 3 m'
_space_group_IT_number 216
_space_group_name_Hall 'F -4 2 3'
loop_
_atom_site_label
_atom_site_fract_x
_atom_site_fract_y
_atom_site_fract_z
_atom_site_occupancy
Li1 0.000 0.000 0.000 1
Re1 0.250 0.250 0.750 1
Ni1 0.000 0.000 0.500 1
Ge1 0.250 0.250 0.250 1
```

Total DFT energy (no corrections) = -5.77 eV/atom

***

No. 2
Here is MgScSnIr after structural relaxation from OQMD. Energies are from PBE-GGA.

Geometry as CIF:
```
data_MgScSnIr
_chemical_formula_sum 'Mg4 Sc4 Sn4 Ir4'
_cell_length_a 6.601
_cell_length_b 6.601
_cell_length_c 6.601
_cell_angle_alpha 90.00
_cell_angle_beta 90.00
_cell_angle_gamma 90.00
_space_group_name_H-M_alt 'F -4 3 m'
_space_group_IT_number 216
_space_group_name_Hall 'F -4 2 3'
loop_
_atom_site_label
_atom_site_fract_x
_atom_site_fract_y
_atom_site_fract_z
_atom_site_occupancy
Mg1 0.000 0.000 0.000 1
Sc1 0.250 0.250 0.750 1
Sn1 0.250 0.250 0.250 1
Ir1 0.000 0.000 0.500 1
```

Distance to the lowest polymorph of the same formula = 0.000 eV/atom
Total DFT energy (no corrections) = -5.73 eV/atom

***

No. 3
Here is Ba3ReN3 after structural relaxation from OQMD. Energies are from PBE-GGA.

Geometry as CIF:
```
data_Ba3ReN3
_chemical_formula_sum 'Ba6 Re2 N6'
_cell_length_a 8.2039
_cell_length_b 8.2039
_cell_length_c 5.7042
_cell_angle_alpha 90.00
_cell_angle_beta 90.00
_cell_angle_gamma 120.00
_space_group_name_H-M_alt 'P 63/m'
_space_group_IT_number 176
_space_group_name_Hall '-P 6c'
loop_
_atom_site_label
_atom_site_fract_x
_atom_site_fract_y
_atom_site_fract_z
_atom_site_occupancy
Ba1 0.0998 0.3593 0.2500 1
Re1 0.3333 0.6667 0.7500 1
N1 0.1167 0.4351 0.7500 1
```

Total DFT energy (no corrections) = -6.78 eV/atom